No. 1
## La4HgCl (PBE-GGA)

Data for a relaxed structure of La4HgCl.

Summary:
- calculated volume (Å³/cell) = 194.1
- VASP energy (eV/atom) = -3.592
- M_tot (μB/cell) = 1.1
- E_form (uncorrected) (eV/f.u.) = 0.3
- crystal system = cubic

Unit cell a=6.4987 b=6.4987 c=6.4987 alpha=60.00 beta=60.00 gamma=60.00
Fractional coordinates of all 6 atoms:
La: 0.3776 0.3776 0.3776
La: 0.3776 0.3776 0.8673
La: 0.3776 0.8673 0.3776
La: 0.8673 0.3776 0.3776
Hg: 0.7500 0.7500 0.7500
Cl: 0.0000 0.0000 0.0000

=====

No. 2
## La4HgCl5 (PBE-GGA)

Data for a relaxed structure of La4HgCl5.

Summary:
- calculated volume (Å³/cell) = 328.2
- VASP energy (eV/atom) = -4.570
- M_tot (μB/cell) = 0.7
- E_form (uncorrected) (eV/f.u.) = -16.5
- crystal system = monoclinic

Unit cell a=9.4368 b=9.4368 c=8.8545 alpha=104.29 beta=104.29 gamma=25.48
Fractional coordinates of all 10 atoms:
La: 0.0114 0.0114 0.2593
La: 0.3264 0.3264 0.9281
La: 0.6736 0.6736 0.0719
La: 0.9886 0.9886 0.7407
Hg: 0.5000 0.5000 0.0000
Cl: 0.1578 0.1578 0.8240
Cl: 0.1744 0.1744 0.3076
Cl: 0.5000 0.5000 0.5000
Cl: 0.8256 0.8256 0.6924
Cl: 0.8422 0.8422 0.1760

=====

The records above yield density values of 6.8 4.7 g cm⁻³, respectively.